The following is a DFT calculation (PBE) of crystalline MgSc2O at its relaxed geometry.

```
MgSc2O
1.0
3.2115 0.0607 -0.4873
-0.2931 5.4552 -1.2699
1.1806 -0.0865 7.8085
Mg Sc O
2 4 2
direct
0.5054 0.3021 0.8009
0.0054 0.8022 0.8010
0.0071 0.0235 0.4600
0.5065 0.0816 0.1424
0.0064 0.5816 0.1424
0.5071 0.5235 0.4600
0.0068 0.3026 0.3013
0.5068 0.8026 0.3013
```

DOS at the Fermi energy in states/eV per cell: 4.87
Excess energy over the best structure of this formula in the dataset in meV/atom: 0
Total magnetization in Bohr magnetons per cell: 0.00
E_form (uncorrected) in eV/atom: -1.4725
Final energy in Ry/atom: -0.461

***

The following is a DFT calculation (PBE) of crystalline Sc4Ga5Pt6 at its relaxed geometry.

```
Sc4Ga5Pt6
1.0
3.7214 0.0000 0.0000
-1.8607 10.4160 0.0000
0.0000 0.0000 13.7798
Sc Ga Pt
8 10 12
direct
0.9465 0.8929 0.2805
0.0535 0.1071 0.7805
0.1391 0.2781 0.2867
0.8609 0.7219 0.7867
0.8235 0.6469 0.4515
0.1765 0.3531 0.9515
0.0237 0.0473 0.5073
0.9763 0.9527 0.0073
0.4714 0.9428 0.6658
0.5286 0.0572 0.1658
0.1828 0.3656 0.6308
0.8172 0.6344 0.1308
0.6454 0.2907 0.4579
0.3546 0.7093 0.9579
0.3143 0.6286 0.6200
0.6857 0.3714 0.1200
0.3297 0.6595 0.2885
0.6703 0.3405 0.7885
0.7433 0.4865 0.2874
0.4210 0.8419 0.4314
0.7717 0.5434 0.9603
0.2283 0.4566 0.4603
0.4552 0.9105 0.8543
0.5448 0.0895 0.3543
0.4050 0.8100 0.1321
0.5950 0.1900 0.6321
0.0976 0.1953 0.1011
0.9024 0.8047 0.6011
0.5790 0.1581 0.9314
0.2567 0.5135 0.7874
```

DOS at the Fermi energy in states/eV per cell: 16.01
Total magnetization in Bohr magnetons per cell: 0.00
DFT formation energy in meV per atom: -934
Final energy in Ry/atom: -0.444

***

The following is a DFT calculation (PBE) of crystalline TbZrNi2P2 at its relaxed geometry.

```
TbZrNi2P2
1.0
-3.2965 -1.4617 1.2843
1.7137 -1.5389 -3.0574
3.8469 -4.7018 4.5226
Tb Zr Ni P
1 1 2 2
direct
0.0000 0.0000 0.0000
0.0000 0.0000 0.5000
0.6667 0.3333 0.2675
0.3333 0.6667 0.7325
0.6667 0.3333 0.7376
0.3333 0.6667 0.2624
```

DOS at the Fermi energy in states/eV per cell: 3.16
Total magnetization in Bohr magnetons per cell: 0.00
DFT formation energy in meV per atom: -1170
Final energy in Ry/atom: -0.522

***

The following is a DFT calculation (PBE) of crystalline MnCu2Sb at its relaxed geometry.

```
MnCu2Sb
1.0
-4.8074 -2.4936 -0.5679
4.6400 -2.7229 -0.8412
0.0050 -2.1518 1.9777
Cu Mn Sb
2 1 1
direct
0.0000 0.0000 0.0000
0.5000 0.5000 0.0000
0.5000 0.0000 0.5000
0.0000 0.5000 0.5000
```

DOS at the Fermi energy in states/eV per cell: 2.71
Total magnetization in Bohr magnetons per cell: 3.17
E_form (uncorrected) in eV/atom: 0.2930
Final energy in Ry/atom: -0.373

***

The following is a DFT calculation (PBE) of crystalline Li2CdPd5 at its relaxed geometry.

```
Li2CdPd5
1.0
-3.1459 3.6243 2.5410
-0.5641 0.5497 -5.3729
-1.4786 -5.0158 1.4663
Li Cd Pd
2 1 5
direct
0.2773 0.7776 0.5001
0.7772 0.2775 0.4999
0.7785 0.7783 0.0000
0.2781 0.2782 0.5003
0.2783 0.7777 0.0000
0.7780 0.2782 0.0000
0.7778 0.7779 0.4997
0.2778 0.2776 0.0000
```

DOS at the Fermi energy in states/eV per cell: 5.18
Excess energy over the best structure of this formula in the dataset in meV/atom: 24
Total magnetization in Bohr magnetons per cell: 0.00
DFT formation energy in meV per atom: -328
Final energy in Ry/atom: -0.306

***

The following is a DFT calculation (PBE) of crystalline LiScInSi2 at its relaxed geometry.

```
LiScInSi2
1.0
5.0357 0.0000 0.0000
0.0000 5.4099 0.0000
0.0000 0.0000 5.0357
Sc Si Li In
1 2 1 1
direct
0.0000 0.0000 0.0000
0.0000 0.0000 0.5000
0.5000 0.0000 0.0000
0.0000 0.5000 0.0000
0.5000 0.5000 0.5000
```

DOS at the Fermi energy in states/eV per cell: 2.77
Total magnetization in Bohr magnetons per cell: 0.00
E_form (uncorrected) in eV/atom: 0.6553
Final energy in Ry/atom: -0.273

***

The following is a DFT calculation (PBE) of crystalline Tc2TeOs at its relaxed geometry.

```
Tc2TeOs
1.0
-2.6834 1.4499 2.7876
-1.5410 -2.4590 -0.2044
2.1725 -3.4053 3.8624
Os Tc Te
1 2 1
direct
0.5000 0.5489 0.7768
0.0000 0.9422 0.9908
0.5000 0.3081 0.2596
0.0000 0.7007 0.4729
```

DOS at the Fermi energy in states/eV per cell: 4.34
Excess energy over the best structure of this formula in the dataset in meV/atom: 54
Total magnetization in Bohr magnetons per cell: 0.00
E_form (uncorrected) in eV/atom: 0.4746
Final energy in Ry/atom: -0.610

***

The following is a DFT calculation (PBE) of crystalline K3Y2MnTe6 at its relaxed geometry.

```
K3Y2MnTe6
1.0
7.6391 -0.0056 -0.0040
-3.8226 6.6140 -0.0040
-1.2772 -2.2114 8.2187
K Y Mn Te
3 2 1 6
direct
0.1716 0.8284 0.5000
0.8284 0.1716 0.5000
0.5000 0.5000 0.5000
0.3341 0.6659 0.0000
0.6659 0.3341 0.0000
0.0000 0.0000 0.0000
0.9336 0.6203 0.8002
0.7549 0.7549 0.2013
0.0664 0.3797 0.1998
0.6203 0.9336 0.8002
0.2451 0.2451 0.7987
0.3797 0.0664 0.1998
```

DOS at the Fermi energy in states/eV per cell: 6.69
Total magnetization in Bohr magnetons per cell: 4.00
E_form (uncorrected) in eV/atom: -1.0653
Final energy in Ry/atom: -0.349